(1)
Compound: PaPdPb
Source: the Open Quantum Materials Database
Functional: GGA-PBE
Structure: optimized geometry

Summary:
The calculation puts the total moment at 1.00 μB/cell. Its theoretical density is 11.8 Mg/m³. The uncorrected energy comes out at -6.454 eV/atom. The symmetry is F-43m.

Lattice parameters (Å, degrees): 4.7655 4.7655 4.7655 60.00 60.00 60.00
Last column: nearest neighbours and their distance in Å.
Element x y z (fractional)
1 Pa 0.0000 0.0000 0.0000  4 Pd 2.92
2 Pd 0.2500 0.2500 0.2500  4 Pb 2.92, 4 Pa 2.92
3 Pb 0.5000 0.5000 0.5000  4 Pd 2.92



(2)
Compound: Pr2DyZn2Si4Ni2
Source: the Open Quantum Materials Database
Functional: GGA-PBE
Structure: optimized geometry

Summary:
The calculation puts the total moment at 0.01 μB/cell. Its theoretical density is 6.6 Mg/m³. The uncorrected energy comes out at -5.187 eV/atom. The symmetry is Immm.

Lattice parameters (Å, degrees): 12.3496 12.3496 12.3496 160.90 160.81 27.20
Last column: nearest neighbours and their distance in Å.
Element x y z (fractional)
1 Pr 0.1516 0.1516 0.0000  4 Ni 3.13, 6 Si 3.15-3.21, 4 Zn 3.17
2 Pr 0.8484 0.8484 0.0000  4 Ni 3.13, 6 Si 3.15-3.21, 4 Zn 3.17
3 Dy 0.5000 0.0000 0.5000  4 Zn 3.13, 8 Si 3.13
4 Zn 0.4016 0.4016 0.0000  3 Si 2.38-2.50
5 Zn 0.5984 0.5984 0.0000  3 Si 2.38-2.50
6 Si 0.0485 0.5485 0.5000  1 Si 2.33, 2 Zn 2.38
7 Si 0.2976 0.2976 0.0000  4 Ni 2.35, 1 Zn 2.50
8 Si 0.7024 0.7024 0.0000  4 Ni 2.35, 1 Zn 2.50
9 Si 0.9515 0.4515 0.5000  1 Si 2.33, 2 Zn 2.38
10 Ni 0.2500 0.7500 0.5000  4 Si 2.35
11 Ni 0.7500 0.2500 0.5000  4 Si 2.35



(3)
Compound: Li4Mg2CuPt
Source: the Open Quantum Materials Database
Functional: GGA-PBE
Structure: optimized geometry

Summary:
The calculation puts the total moment at 0.00 μB/cell. Its theoretical density is 4.6 Mg/m³. The uncorrected energy comes out at -2.850 eV/atom. The symmetry is P-4m2.

Lattice parameters (Å, degrees): 4.4153 4.4153 6.2419 90.00 90.00 90.00
Last column: nearest neighbours and their distance in Å.
Element x y z (fractional)
1 Li 0.0000 0.0000 0.0000  4 Mg 2.69, 4 Li 2.69
2 Li 0.0000 0.5000 0.2475  4 Li 2.69-2.71, 2 Pt 2.69, 2 Cu 2.71
3 Li 0.5000 0.0000 0.7525  4 Li 2.69-2.71, 2 Pt 2.69, 2 Cu 2.71
4 Li 0.5000 0.5000 0.5000  4 Li 2.71, 4 Mg 2.72
5 Mg 0.0000 0.5000 0.7539  4 Li 2.69-2.72, 2 Pt 2.69, 2 Cu 2.72
6 Mg 0.5000 0.0000 0.2461  4 Li 2.69-2.72, 2 Pt 2.69, 2 Cu 2.72
7 Cu 0.0000 0.0000 0.5000  4 Li 2.71, 4 Mg 2.72
8 Pt 0.5000 0.5000 0.0000  4 Mg 2.69, 4 Li 2.69